Here is crystalline Cs2SbSO6 at its relaxed geometry from Alexandria via LeMat-Bulk. Energies are from GGA-PBE.

Results
The calculation puts the density of states at the Fermi level at 5.0 states/eV/cell. For the total energy, the calculation gives -4.961 eV/atom. The total magnetization is 0.00 μB per formula unit. The value obtained for the uncorrected formation energy is -96 kJ per mole of atoms.

Cell and atoms, written as CIF:
```
data_Cs2SbSO6
_chemical_formula_sum 'Cs4 Sb2 S2 O12'
_space_group_name_H-M_alt 'I 4/m m m'
_space_group_IT_number 139
_space_group_name_Hall '-I 4 2'
_cell_length_a 5.468
_cell_length_b 5.468
_cell_length_c 12.150
_cell_angle_alpha 90.00
_cell_angle_beta 90.00
_cell_angle_gamma 90.00
loop_
_atom_site_label
_atom_site_type_symbol
_atom_site_fract_x
_atom_site_fract_y
_atom_site_fract_z
Cs1 Cs 0.000 0.500 0.250
Sb1 Sb 0.000 0.000 0.000
S1 S 0.000 0.000 0.500
O1 O 0.000 0.000 0.156
O2 O 0.215 0.215 0.500
```

Here is crystalline CsSbS2O8 at its relaxed geometry from Alexandria via LeMat-Bulk. Energies are from GGA-PBE.

Results
The calculation puts the density of states at the Fermi level at 0.0 states/eV/cell. For the total energy, the calculation gives -5.908 eV/atom. The total magnetization is 0.00 μB per formula unit. The value obtained for the uncorrected formation energy is -145 kJ per mole of atoms. The calculation puts the offset from the most stable computed form at 11 meV per atom.

Cell and atoms, written as CIF:
```
data_CsSbS2O8
_chemical_formula_sum 'Cs3 Sb3 S6 O24'
_space_group_name_H-M_alt 'R -3'
_space_group_IT_number 148
_space_group_name_Hall '-R 3'
_cell_length_a 5.2070
_cell_length_b 5.2070
_cell_length_c 26.9875
_cell_angle_alpha 90.00
_cell_angle_beta 90.00
_cell_angle_gamma 120.00
loop_
_atom_site_label
_atom_site_type_symbol
_atom_site_fract_x
_atom_site_fract_y
_atom_site_fract_z
Cs1 Cs 0.0000 0.0000 0.0000
Sb1 Sb 0.0000 0.0000 0.5000
S1 S 0.0000 0.0000 0.2367
O1 O 0.0000 0.0000 0.2909
O2 O 0.0180 0.7378 0.2174
```